## CaHgI (PBE)

Data for CaHgI after structural relaxation.

It has space group P3m1 (No. 156), with a = 5.3583 Å, b = 5.3583 Å, c = 4.3870 Å, α = 90.00°, β = 90.00° and γ = 120.00°. The distinct sites, in fractional coordinates, are Ca at (0.0000, 0.0000, 0.0000), Hg at (0.6667, 0.3333, 0.3995) and I at (0.3333, 0.6667, 0.8803).

As for the total energy: -5.69 eV per formula unit. Its total magnetization is 0.56 μB per cell. The crystal system is trigonal. For the energy above the most stable polymorph in this dataset, the calculation gives 321 meV/atom. The value obtained for the uncorrected formation energy is -0.612 eV/atom.